1.
First-principles (PBE-GGA) data for crystalline AcMg3Ni8 at its relaxed geometry, as listed in Alexandria.

Calculated values
* energy of formation from the pure elements: -196 meV/atom
* Fermi-level density of states: 15.64 states/eV/cell

Cell lengths 8.7611, 8.7611, 8.7611 Å; angles 32.75, 32.75, 32.75 degrees
Closest atoms and distances in Å follow each position.
Sites, in units of the cell vectors:
Ac  0.0000  0.0000  0.0000  12 Ni 2.91-3.07, 4 Mg 3.21-3.23
Mg  0.3928  0.3928  0.3928  9 Ni 2.76-2.99, 1 Mg 2.80
Mg  0.5056  0.5056  0.5056  12 Ni 2.74-2.93, 4 Mg 2.80-2.96
Mg  0.8702  0.8702  0.8702  12 Ni 2.73-2.92, 3 Mg 2.96
Ni  0.1877  0.1877  0.1877  6 Ni 2.43
Ni  0.4343  0.4343  0.9305  6 Ni 2.43-2.66
Ni  0.4343  0.9305  0.4343  6 Ni 2.43-2.66
Ni  0.4477  0.9398  0.9398  6 Ni 2.43-2.54
Ni  0.6904  0.6904  0.6904  6 Ni 2.54-2.66
Ni  0.9306  0.4343  0.4343  6 Ni 2.43-2.66
Ni  0.9398  0.4477  0.9398  6 Ni 2.43-2.54
Ni  0.9398  0.9398  0.4477  6 Ni 2.43-2.54

---

2.
First-principles (PBE-GGA) data for crystalline AcMgNi10 at its relaxed geometry, as listed in Alexandria.

Calculated values
* energy of formation from the pure elements: -104 meV/atom
* Fermi-level density of states: 15.38 states/eV/cell

Cell lengths 4.0084, 4.8688, 8.5516 Å; angles 90.00, 90.00, 90.00 degrees
Closest atoms and distances in Å follow each position.
Sites, in units of the cell vectors:
Ac  0.0000  0.0000  0.0000  18 Ni 2.94-3.25
Mg  0.0000  0.5000  0.5000  6 Ni 2.63-2.76
Ni  0.0000  0.0000  0.3477  7 Ni 2.39-2.60
Ni  0.0000  0.0000  0.6523  7 Ni 2.39-2.60
Ni  0.0000  0.5000  0.1919  6 Ni 2.41-2.59, 1 Mg 2.63
Ni  0.0000  0.5000  0.8081  6 Ni 2.41-2.59, 1 Mg 2.63
Ni  0.5000  0.0000  0.5000  8 Ni 2.39
Ni  0.5000  0.2541  0.2612  8 Ni 2.39-2.53
Ni  0.5000  0.2541  0.7388  8 Ni 2.39-2.53
Ni  0.5000  0.5000  0.0000  8 Ni 2.53-2.59
Ni  0.5000  0.7459  0.2612  8 Ni 2.39-2.53
Ni  0.5000  0.7459  0.7388  8 Ni 2.39-2.53